Entry 1:
A plane-wave DFT calculation with PBE was carried out for Y3Er4Sc after structural relaxation.

## Properties
- crystal system = orthorhombic
- ΔE_f (eV per atom) = 0.011
- E above lowest polymorph (eV per atom) = 0.000

Cell lengths 11.087, 7.162, 6.187 Å; angles 90.00, 90.00, 90.00 degrees
Space group Pmn2_1 (No. 31)
Symmetry-distinct sites (fractional):
Y: 0.000 0.125 0.000 x2
Y: 0.249 0.125 0.335 x4
Er: 0.000 0.376 0.508 x2
Er: 0.000 0.625 0.002 x2
Er: 0.245 0.625 0.338 x4
Sc: 0.000 0.873 0.500 x2


Entry 2:
A plane-wave DFT calculation with PBE was carried out for CaSiRu after structural relaxation.

## Properties
- crystal system = tetragonal
- formation energy from raw total energies (kJ/mol of atoms) = -43

Cell lengths 3.186, 3.186, 10.699 Å; angles 90.00, 90.00, 90.00 degrees
Space group I4mm (No. 107)
Symmetry-distinct sites (fractional):
Ca: 0.000 0.000 0.000 x2
Si: 0.000 0.000 0.707 x2
Ru: 0.000 0.000 0.296 x2


Entry 3:
A plane-wave DFT calculation with PBE was carried out for TaAuSe2 after structural relaxation.

## Properties
- crystal system = trigonal
- formation energy from raw total energies (kJ/mol of atoms) = -28
- E above lowest polymorph (eV per atom) = 0.126

Cell lengths 3.3348, 3.3348, 25.8841 Å; angles 90.00, 90.00, 120.00 degrees
Space group R-3m (No. 166, hexagonal axes)
Symmetry-distinct sites (fractional):
Ta: 0.0000 0.0000 0.0000 x3
Au: 0.0000 0.0000 0.5000 x3
Se: 0.0000 0.0000 0.2654 x6


Entry 4:
A plane-wave DFT calculation with PBE was carried out for SrBePt2 after structural relaxation.

## Properties
- crystal system = tetragonal
- ΔE_f (eV per atom) = -0.645

Cell lengths 4.160, 4.160, 4.817 Å; angles 90.00, 90.00, 90.00 degrees
Space group P4mm (No. 99)
Symmetry-distinct sites (fractional):
Sr: 0.000 0.000 0.000 x1
Be: 0.500 0.500 0.360 x1
Pt: 0.000 0.500 0.503 x2


no.,size of the total moment (μB per cell)
1,0.0
2,0.0
3,0.0
4,0.0